# 1
A plane-wave DFT calculation with GGA-PBE was carried out for crystalline Pr2MgTcO6 at its relaxed geometry.

Cell lengths 5.553, 5.761, 7.945 Å; angles 90.00, 89.98, 90.00 degrees
Last column: magnetic moment on the atom in μB.
Element x y z (fractional)
Tc 0.500 0.000 0.500  2.24
Tc 0.000 0.500 0.000  2.24
O 0.198 0.208 0.051  0.07
O 0.698 0.292 0.551  0.07
O 0.294 0.701 0.050  0.08
O 0.595 0.030 0.253  0.07
O 0.794 0.799 0.550  0.08
O 0.302 0.708 0.449  0.07
O 0.095 0.470 0.753  0.07
O 0.405 0.970 0.747  0.07
O 0.905 0.530 0.247  0.07
O 0.802 0.792 0.949  0.07
O 0.706 0.299 0.950  0.08
O 0.206 0.201 0.450  0.08
Pr 0.986 0.056 0.749  0.02
Pr 0.514 0.556 0.751  0.02
Pr 0.486 0.444 0.249  0.02
Pr 0.014 0.944 0.251  0.02
Mg 0.000 0.500 0.500  0.00
Mg 0.500 0.000 0.000  0.00

The density is 6.53 g/cm³. The total magnetization is 0.30 μB per atom. Its crystal system is monoclinic. The uncorrected energy is -155.86 eV per cell.

---

# 2
A plane-wave DFT calculation with GGA-PBE was carried out for crystalline ZnSb2P at its relaxed geometry.

Cell lengths 3.278, 3.278, 8.523 Å; angles 90.00, 90.00, 107.26 degrees
Element x y z (fractional)
Sb 0.000 0.000 0.037
Sb 0.500 0.500 0.720
Zn 0.000 0.000 0.458
P 0.500 0.500 0.285

The density is 6.45 g/cm³. The total magnetization is 0.00 μB per atom. For the density of states at the Fermi level, the calculation gives 0.34 states/eV per atom. Its crystal system is orthorhombic. The uncorrected energy is -13.63 eV per cell.

---

# 3
A plane-wave DFT calculation with GGA-PBE was carried out for crystalline CoRuAu2 at its relaxed geometry.

Cell lengths 4.060, 2.749, 6.207 Å; angles 63.52, 90.00, 90.00 degrees
Last column: magnetic moment on the atom in μB.
Element x y z (fractional)
Au 0.000 0.504 0.496  0.05
Au 0.000 0.996 0.004  0.05
Co 0.500 0.250 0.250  1.93
Ru 0.500 0.750 0.750  1.25

Its formation energy is 413 meV/atom. The density is 14.83 g/cm³. The total magnetization is 0.82 μB per atom. For the density of states at the Fermi level, the calculation gives 1.12 states/eV per atom. Its crystal system is monoclinic. The uncorrected energy is -21.28 eV per cell.

---

# 4
A plane-wave DFT calculation with GGA-PBE was carried out for crystalline Cs2LiSeF6 at its relaxed geometry.

Cell lengths 6.212, 6.212, 6.344 Å; angles 60.69, 60.69, 90.00 degrees
Last column: magnetic moment on the atom in μB.
Element x y z (fractional)
F 0.786 0.786 0.427  0.01
F 0.261 0.739 0.000  0.05
F 0.261 0.261 0.000  0.06
F 0.739 0.261 0.000  0.05
F 0.214 0.214 0.573  0.01
F 0.739 0.739 0.000  0.06
Li 0.500 0.500 0.000  0.01
Se 0.000 0.000 0.000  0.52
Cs 0.250 0.750 0.500  0.00
Cs 0.750 0.250 0.500  0.00

The density is 4.38 g/cm³. The total magnetization is 0.10 μB per atom. For the density of states at the Fermi level, the calculation gives 0.61 states/eV per atom. Its crystal system is tetragonal. The uncorrected energy is -40.12 eV per cell.

---

# 5
A plane-wave DFT calculation with GGA-PBE was carried out for crystalline Cd2Ni2Rh at its relaxed geometry.

Cell lengths 6.340, 6.340, 3.940 Å; angles 90.00, 90.00, 90.00 degrees
Last column: magnetic moment on the atom in μB.
Element x y z (fractional)
Ni 0.126 0.374 0.000  0.21
Ni 0.874 0.626 0.000  0.21
Ni 0.626 0.126 0.000  0.27
Ni 0.374 0.874 0.000  0.27
Rh 0.000 0.000 0.000  0.27
Rh 0.500 0.500 0.000  0.27
Cd 0.322 0.178 0.500  0.00
Cd 0.178 0.678 0.500  0.00
Cd 0.822 0.322 0.500  0.00
Cd 0.678 0.822 0.500  0.00

Its formation energy is 121 meV/atom. The density is 9.33 g/cm³. The total magnetization is 0.15 μB per atom. For the density of states at the Fermi level, the calculation gives 0.73 states/eV per atom. Its crystal system is tetragonal. The uncorrected energy is -40.28 eV per cell.

---

# 6
A plane-wave DFT calculation with GGA-PBE was carried out for crystalline DyHoTcPd at its relaxed geometry.

Cell lengths 4.871, 4.871, 4.871 Å; angles 60.00, 60.00, 60.00 degrees
Element x y z (fractional)
Dy 0.750 0.750 0.750
Pd 0.000 0.000 0.000
Tc 0.500 0.500 0.500
Ho 0.250 0.250 0.250

Its formation energy is -383 meV/atom. The density is 10.80 g/cm³. The total magnetization is 0.00 μB per atom. For the density of states at the Fermi level, the calculation gives 0.91 states/eV per atom. Its crystal system is cubic. The uncorrected energy is -26.27 eV per cell.

---

# 7
A plane-wave DFT calculation with GGA-PBE was carried out for crystalline NaAc2Ni9 at its relaxed geometry.

Cell lengths 5.124, 5.124, 8.790 Å; angles 73.05, 73.05, 60.00 degrees
Last column: magnetic moment on the atom in μB.
Element x y z (fractional)
Ni 0.500 0.500 0.500  0.07
Ni 0.577 0.577 0.766  0.26
Ni 0.423 0.920 0.234  0.26
Ni 0.577 0.080 0.766  0.26
Ni 0.668 0.668 0.997  0.55
Ni 0.920 0.423 0.234  0.26
Ni 0.423 0.423 0.234  0.26
Ni 0.332 0.332 0.003  0.55
Ni 0.080 0.577 0.766  0.26
Na 0.000 0.000 0.000  0.00
Ac 0.132 0.132 0.603  -0.05
Ac 0.868 0.868 0.397  -0.05

Its formation energy is -35 meV/atom. The density is 8.87 g/cm³. The total magnetization is 0.20 μB per atom. For the density of states at the Fermi level, the calculation gives 1.02 states/eV per atom. Its crystal system is trigonal. The uncorrected energy is -61.98 eV per cell.

---

# 8
A plane-wave DFT calculation with GGA-PBE was carried out for crystalline Ca2InSn4 at its relaxed geometry.

Cell lengths 10.397, 6.342, 7.014 Å; angles 116.88, 90.00, 90.00 degrees
Element x y z (fractional)
Sn 0.250 0.250 0.000
Sn 0.250 0.750 0.000
Sn 0.750 0.250 0.000
Sn 0.750 0.500 0.500
Sn 0.250 0.500 0.500
Sn 0.750 0.000 0.500
Sn 0.250 0.000 0.500
Sn 0.750 0.750 0.000
In 0.500 0.500 0.000
In 0.000 0.000 0.000
Ca 0.000 0.648 0.297
Ca 0.000 0.352 0.703
Ca 0.500 0.148 0.297
Ca 0.500 0.852 0.703

Its formation energy is -313 meV/atom. The density is 5.39 g/cm³. The total magnetization is 0.00 μB per atom. For the density of states at the Fermi level, the calculation gives 0.45 states/eV per atom. Its crystal system is orthorhombic. The uncorrected energy is -49.89 eV per cell.